Computed, not measured: a relaxed structure of Sn6RhAu3 at the PBE level of DFT.

a b c (Å): 7.145 6.715 9.800
angles (deg): 90.00 92.65 90.00
Atoms (fractional coordinates):
Au 0.000 0.000 0.500
Au 0.022 0.680 0.213
Au 0.978 0.320 0.787
Au 0.478 0.180 0.287
Au 0.500 0.500 0.000
Au 0.522 0.820 0.713
Sn 0.661 0.556 0.263
Sn 0.834 0.661 0.917
Sn 0.348 0.876 0.091
Sn 0.666 0.161 0.583
Sn 0.161 0.944 0.763
Sn 0.334 0.839 0.417
Sn 0.166 0.339 0.083
Sn 0.152 0.376 0.409
Sn 0.848 0.624 0.591
Sn 0.339 0.444 0.737
Sn 0.652 0.124 0.909
Sn 0.839 0.056 0.237
Rh 0.000 0.000 0.000
Rh 0.500 0.500 0.500

Summary:
**Space-group type**: P2_1/c (14)
**ΔH_f (0 K)**: -0.20 eV per atom
**Crystal system**: monoclinic
**E**: -4.320 eV/atom
**Mass density**: 9.94 Mg/m³

---

Computed, not measured: a relaxed structure of Sn4Rh7Au at the PBE level of DFT.

a b c (Å): 4.917 8.276 6.185
angles (deg): 78.49 66.58 72.72
Atoms (fractional coordinates):
Sn 0.263 0.323 0.151
Sn 0.737 0.677 0.849
Sn 0.418 0.775 0.389
Sn 0.582 0.225 0.611
Rh 0.360 0.535 0.744
Rh 0.078 0.662 0.181
Rh 0.640 0.465 0.256
Rh 0.500 0.000 0.000
Rh 0.799 0.907 0.494
Rh 0.201 0.093 0.506
Rh 0.922 0.338 0.819
Au 0.000 0.000 0.000

Summary:
**Space-group type**: C2/m (12)
**ΔH_f (0 K)**: -0.05 eV per atom
**Crystal system**: monoclinic
**E**: -5.945 eV/atom
**Mass density**: 10.53 Mg/m³

---

Computed, not measured: a relaxed structure of SnRhAu3 at the PBE level of DFT.

a b c (Å): 5.106 5.106 5.106
angles (deg): 90.00 90.00 90.00
Last column: magnetic moment on the atom in μB.
Atoms (fractional coordinates):
Au 0.000 0.500 0.000  0.02
Au 0.500 0.000 0.000  0.01
Au 0.000 0.000 0.500  0.04
Rh 0.500 0.500 0.500  1.30
Sn 0.000 0.000 0.000  0.04

Summary:
**Space-group type**: Pm-3m (221)
**ΔH_f (0 K)**: 1.02 eV per atom
**Crystal system**: cubic
**E**: -3.219 eV/atom
**E above lowest polymorph**: 334.6 meV/atom
**Mass density**: 10.13 Mg/m³

---

Computed, not measured: a relaxed structure of Sn4RhAu at the PBE level of DFT.

a b c (Å): 7.322 7.276 5.184
angles (deg): 90.00 90.02 90.00
Atoms (fractional coordinates):
Sn 0.870 0.646 0.001
Sn 0.630 0.146 0.999
Sn 0.858 0.156 0.499
Sn 0.358 0.344 0.499
Sn 0.130 0.354 0.999
Sn 0.642 0.656 0.501
Sn 0.142 0.844 0.501
Sn 0.370 0.854 0.001
Rh 0.500 0.000 0.500
Rh 0.000 0.500 0.500
Au 0.500 0.500 0.000
Au 0.000 0.000 0.000

Summary:
**Space-group type**: Pbam (55)
**ΔH_f (0 K)**: -0.20 eV per atom
**Crystal system**: orthorhombic
**E**: -4.642 eV/atom
**E above lowest polymorph**: 62.8 meV/atom
**Mass density**: 9.32 Mg/m³

---

Computed, not measured: a relaxed structure of SnRhAu3 at the PBE level of DFT.

a b c (Å): 5.024 5.024 5.024
angles (deg): 90.00 90.00 90.00
Atoms (fractional coordinates):
Au 0.000 0.500 0.000
Au 0.500 0.000 0.000
Au 0.000 0.000 0.500
Rh 0.000 0.000 0.000
Sn 0.500 0.500 0.500

Summary:
**Space-group type**: Pm-3m (221)
**ΔH_f (0 K)**: 0.68 eV per atom
**Crystal system**: cubic
**E**: -3.553 eV/atom
**E above lowest polymorph**: 0.0 meV/atom
**Mass density**: 10.64 Mg/m³

---

Computed, not measured: a relaxed structure of SnRhAu at the PBE level of DFT.

a b c (Å): 3.380 3.380 5.312
angles (deg): 108.55 108.55 90.00
Atoms (fractional coordinates):
Rh 0.298 0.298 0.596
Sn 0.936 0.936 0.872
Au 0.616 0.616 0.232

Summary:
**Space-group type**: I4mm (107)
**ΔH_f (0 K)**: -0.11 eV per atom
**Crystal system**: tetragonal
**E**: -4.985 eV/atom
**E above lowest polymorph**: 49.8 meV/atom
**Mass density**: 12.82 Mg/m³

---

Computed, not measured: a relaxed structure of TbSnRhAu at the PBE level of DFT.

a b c (Å): 4.854 4.854 4.854
angles (deg): 60.00 60.00 60.00
Atoms (fractional coordinates):
Sn 0.750 0.750 0.750
Au 0.000 0.000 0.000
Rh 0.500 0.500 0.500
Tb 0.250 0.250 0.250

Summary:
**Space-group type**: F-43m (216)
**ΔH_f (0 K)**: -0.63 eV per atom
**Crystal system**: cubic
**E**: -5.443 eV/atom
**Mass density**: 11.86 Mg/m³

---

Computed, not measured: a relaxed structure of ZnSnRhAu at the PBE level of DFT.

a b c (Å): 4.587 4.587 4.587
angles (deg): 60.00 60.00 60.00
Atoms (fractional coordinates):
Zn 0.750 0.750 0.750
Sn 0.250 0.250 0.250
Rh 0.000 0.000 0.000
Au 0.500 0.500 0.500

Summary:
**Space-group type**: F-43m (216)
**ΔH_f (0 K)**: -0.16 eV per atom
**Crystal system**: cubic
**E**: -4.140 eV/atom
**Mass density**: 11.78 Mg/m³

---

Computed, not measured: a relaxed structure of Sr2RhAu2 at the PBE level of DFT.

a b c (Å): 7.448 7.448 4.568
angles (deg): 90.00 90.00 90.00
Atoms (fractional coordinates):
Sr 0.323 0.177 0.500
Sr 0.177 0.677 0.500
Sr 0.823 0.323 0.500
Sr 0.677 0.823 0.500
Au 0.636 0.136 0.000
Au 0.364 0.864 0.000
Au 0.864 0.636 0.000
Au 0.136 0.364 0.000
Rh 0.000 0.000 0.000
Rh 0.500 0.500 0.000

Summary:
**Space-group type**: P4/mbm (127)
**ΔH_f (0 K)**: -0.42 eV per atom
**Crystal system**: tetragonal
**E**: -3.873 eV/atom
**Mass density**: 8.81 Mg/m³

---

Computed, not measured: a relaxed structure of SrRh2Au2 at the PBE level of DFT.

a b c (Å): 7.973 7.973 3.026
angles (deg): 90.00 90.00 90.00
Atoms (fractional coordinates):
Sr 0.000 0.000 0.000
Sr 0.500 0.500 0.000
Rh 0.166 0.666 0.500
Rh 0.834 0.334 0.500
Rh 0.666 0.834 0.500
Rh 0.334 0.166 0.500
Au 0.368 0.868 0.000
Au 0.632 0.132 0.000
Au 0.132 0.368 0.000
Au 0.868 0.632 0.000

Summary:
**Space-group type**: P4/mbm (127)
**ΔH_f (0 K)**: 0.01 eV per atom
**Crystal system**: tetragonal
**E**: -4.582 eV/atom
**E above lowest polymorph**: 104.8 meV/atom
**Mass density**: 11.87 Mg/m³

---

Computed, not measured: a relaxed structure of SrRh2Au2 at the PBE level of DFT.

a b c (Å): 4.701 4.701 5.931
angles (deg): 66.65 66.65 90.00
Atoms (fractional coordinates):
Au 0.250 0.750 0.500
Au 0.750 0.250 0.500
Sr 0.000 0.000 0.000
Rh 0.620 0.620 0.759
Rh 0.380 0.380 0.241

Summary:
**Space-group type**: I4/mmm (139)
**ΔH_f (0 K)**: -0.10 eV per atom
**Crystal system**: tetragonal
**E**: -4.686 eV/atom
**E above lowest polymorph**: 0.0 meV/atom
**Mass density**: 10.51 Mg/m³

---

Computed, not measured: a relaxed structure of Sr8RhAu2 at the PBE level of DFT.

a b c (Å): 7.359 8.288 8.288
angles (deg): 71.91 75.54 75.54
Atoms (fractional coordinates):
Sr 0.224 0.580 0.580
Sr 0.749 0.868 0.868
Sr 0.753 0.346 0.942
Sr 0.251 0.132 0.132
Sr 0.247 0.654 0.058
Sr 0.753 0.942 0.346
Sr 0.776 0.420 0.420
Sr 0.247 0.058 0.654
Rh 0.000 0.000 0.000
Au 0.562 0.681 0.681
Au 0.438 0.319 0.319

Summary:
**Space-group type**: C2/m (12)
**ΔH_f (0 K)**: -0.39 eV per atom
**Crystal system**: monoclinic
**E**: -2.878 eV/atom
**E above lowest polymorph**: 0.0 meV/atom
**Mass density**: 4.35 Mg/m³

---

Computed, not measured: a relaxed structure of Sr12RhAu6 at the PBE level of DFT.

a b c (Å): 9.125 9.125 9.125
angles (deg): 99.48 99.48 99.48
Atoms (fractional coordinates):
Sr 0.313 0.079 0.961
Sr 0.580 0.422 0.822
Sr 0.822 0.580 0.422
Sr 0.422 0.822 0.580
Sr 0.687 0.921 0.039
Sr 0.921 0.039 0.687
Sr 0.961 0.313 0.079
Sr 0.079 0.961 0.313
Sr 0.039 0.687 0.921
Sr 0.420 0.578 0.178
Sr 0.178 0.420 0.578
Sr 0.578 0.178 0.420
Au 0.621 0.311 0.135
Au 0.689 0.865 0.379
Au 0.311 0.135 0.621
Au 0.135 0.621 0.311
Au 0.379 0.689 0.865
Au 0.865 0.379 0.689
Rh 0.000 0.000 0.000

Summary:
**Space-group type**: R-3 (148)
**ΔH_f (0 K)**: -0.54 eV per atom
**Crystal system**: trigonal
**E**: -3.026 eV/atom
**Mass density**: 5.35 Mg/m³

---

Computed, not measured: a relaxed structure of Sr2Rh2Au at the PBE level of DFT.

a b c (Å): 5.848 5.848 5.679
angles (deg): 59.01 59.01 90.00
Last column: magnetic moment on the atom in μB.
Atoms (fractional coordinates):
Sr 0.250 0.750 0.500  -0.01
Sr 0.750 0.250 0.500  -0.01
Rh 0.342 0.342 0.315  0.53
Rh 0.658 0.658 0.685  0.53
Au 0.000 0.000 0.000  0.05

Summary:
**Space-group type**: I4/mmm (139)
**ΔH_f (0 K)**: -0.04 eV per atom
**Crystal system**: tetragonal
**E**: -4.305 eV/atom
**E above lowest polymorph**: 273.3 meV/atom
**Mass density**: 7.21 Mg/m³

---

Computed, not measured: a relaxed structure of SrRhAu2 at the PBE level of DFT.

a b c (Å): 4.931 4.931 4.931
angles (deg): 60.00 60.00 60.00
Atoms (fractional coordinates):
Au 0.750 0.750 0.750
Au 0.250 0.250 0.250
Sr 0.000 0.000 0.000
Rh 0.500 0.500 0.500

Summary:
**Space-group type**: Fm-3m (225)
**ΔH_f (0 K)**: -0.14 eV per atom
**Crystal system**: cubic
**E**: -4.035 eV/atom
**Mass density**: 11.44 Mg/m³

---

Computed, not measured: a relaxed structure of SrRhAu3 at the PBE level of DFT.

a b c (Å): 5.629 5.629 5.629
angles (deg): 90.00 90.00 90.00
Last column: magnetic moment on the atom in μB.
Atoms (fractional coordinates):
Au 0.500 0.000 0.000  0.03
Au 0.000 0.000 0.500  0.11
Au 0.000 0.500 0.000  0.07
Sr 0.000 0.000 0.000  0.01
Rh 0.500 0.500 0.500  1.57

Summary:
**Space-group type**: Pm-3m (221)
**ΔH_f (0 K)**: 1.26 eV per atom
**Crystal system**: cubic
**E**: -2.517 eV/atom
**E above lowest polymorph**: 1309.5 meV/atom
**Mass density**: 7.28 Mg/m³

---

Computed, not measured: a relaxed structure of SrRhAu2 at the PBE level of DFT.

a b c (Å): 5.353 5.353 5.353
angles (deg): 132.37 132.37 69.65
Atoms (fractional coordinates):
Sr 0.750 0.250 0.500
Au 0.250 0.750 0.500
Au 0.000 0.000 0.000
Rh 0.500 0.500 0.000

Summary:
**Space-group type**: I-4m2 (119)
**ΔH_f (0 K)**: -0.19 eV per atom
**Crystal system**: tetragonal
**E**: -4.089 eV/atom
**Mass density**: 11.82 Mg/m³

---

Computed, not measured: a relaxed structure of SrRhAu2 at the PBE level of DFT.

a b c (Å): 5.380 5.380 5.380
angles (deg): 132.84 132.84 68.90
Atoms (fractional coordinates):
Au 0.500 0.500 0.000
Au 0.000 0.000 0.000
Sr 0.750 0.250 0.500
Rh 0.250 0.750 0.500

Summary:
**Space-group type**: I4/mmm (139)
**ΔH_f (0 K)**: -0.16 eV per atom
**Crystal system**: tetragonal
**E**: -4.057 eV/atom
**Mass density**: 11.81 Mg/m³

---

Computed, not measured: a relaxed structure of Sr5RhAu at the PBE level of DFT.

a b c (Å): 7.392 7.392 11.666
angles (deg): 106.55 106.55 81.39
Atoms (fractional coordinates):
Au 0.923 0.577 0.250
Au 0.077 0.423 0.750
Sr 0.225 0.652 0.023
Sr 0.765 0.930 0.135
Sr 0.570 0.735 0.365
Sr 0.152 0.725 0.523
Sr 0.235 0.070 0.865
Sr 0.256 0.244 0.250
Sr 0.775 0.348 0.977
Sr 0.744 0.756 0.750
Sr 0.848 0.275 0.477
Sr 0.430 0.265 0.635
Rh 0.000 0.000 0.000
Rh 0.500 0.500 0.500

Summary:
**Space-group type**: C2/c (15)
**ΔH_f (0 K)**: -0.27 eV per atom
**Crystal system**: monoclinic
**E**: -2.992 eV/atom
**Mass density**: 4.20 Mg/m³

---

Computed, not measured: a relaxed structure of Sr8Rh2Au at the PBE level of DFT.

a b c (Å): 6.383 9.437 9.434
angles (deg): 120.02 90.00 90.00
Atoms (fractional coordinates):
Sr 0.750 0.328 0.165
Sr 0.750 0.837 0.672
Sr 0.248 0.667 0.333
Sr 0.750 0.835 0.163
Sr 0.752 0.333 0.667
Sr 0.250 0.672 0.835
Sr 0.250 0.163 0.328
Sr 0.250 0.165 0.837
Au 0.000 0.000 0.000
Rh 0.749 0.667 0.333
Rh 0.251 0.333 0.667

Summary:
**Space-group type**: P-3 (147)
**ΔH_f (0 K)**: -0.10 eV per atom
**Crystal system**: trigonal
**E**: -2.957 eV/atom
**Mass density**: 3.73 Mg/m³